{
  "formula": "Pd2I5Br",
  "functional": "PBE",
  "state": "relaxed",
  "sg": "No. 2",
  "dft_energy_ev_per_atom": -2.5747,
  "cell": [[7.048, 0.000, 0.000], [2.249, 6.897, 0.000], [1.882, 2.640, 8.221]],
  "species": ["Pd", "Pd", "I", "I", "I", "I", "I", "Br"],
  "fractional_positions": [[0.232, 0.148, 0.447], [0.768, 0.852, 0.553], [0.000, 0.500, 0.500], [0.005, 0.861, 0.741], [0.483, 0.150, 0.628], [0.517, 0.850, 0.372], [0.995, 0.139, 0.259], [0.000, 0.500, 0.000]]
}

***

{
  "formula": "Pd7I12Br",
  "functional": "PBE",
  "state": "relaxed",
  "sg": "No. 148",
  "dft_energy_ev_per_atom": -2.9808,
  "cell": [[7.325, 4.229, 3.294], [-7.325, 4.229, 3.294], [0.000, -8.458, 3.294]],
  "species": ["Pd", "Pd", "Pd", "Pd", "Pd", "Pd", "Pd", "I", "I", "I", "I", "I", "I", "I", "I", "I", "I", "I", "I", "Br"],
  "fractional_positions": [[0.000, 0.000, 0.000], [0.149, 0.464, 0.388], [0.388, 0.149, 0.464], [0.464, 0.388, 0.149], [0.536, 0.612, 0.851], [0.612, 0.851, 0.536], [0.851, 0.536, 0.612], [0.064, 0.120, 0.350], [0.120, 0.350, 0.064], [0.198, 0.571, 0.718], [0.282, 0.802, 0.429], [0.350, 0.064, 0.120], [0.429, 0.282, 0.802], [0.571, 0.718, 0.198], [0.650, 0.936, 0.880], [0.718, 0.198, 0.571], [0.802, 0.429, 0.282], [0.880, 0.650, 0.936], [0.936, 0.880, 0.650], [0.500, 0.500, 0.500]]
}

***

{
  "formula": "PdI4Br",
  "functional": "PBE",
  "state": "relaxed",
  "sg": "No. 12",
  "dft_energy_ev_per_atom": -2.1991,
  "e_above_lowest_polymorph_ev_per_atom": 0.0520,
  "cell": [[9.910, -4.599, 0.000], [9.910, 4.599, 0.000], [-0.719, 0.000, 5.657]],
  "species": ["Pd", "Pd", "I", "I", "I", "I", "I", "I", "I", "I", "Br", "Br"],
  "fractional_positions": [[0.066, 0.066, 0.289], [0.934, 0.934, 0.711], [0.084, 0.676, 0.429], [0.195, 0.805, 0.000], [0.216, 0.216, 0.227], [0.324, 0.916, 0.571], [0.676, 0.084, 0.429], [0.784, 0.784, 0.773], [0.805, 0.195, 0.000], [0.916, 0.324, 0.571], [0.322, 0.322, 0.997], [0.678, 0.678, 0.003]]
}

***

{
  "formula": "Pd2I2Br",
  "functional": "PBE",
  "state": "relaxed",
  "sg": "No. 12",
  "dft_energy_ev_per_atom": -3.1715,
  "cell": [[6.301, -2.897, 0.000], [6.301, 2.897, 0.000], [-2.880, 0.000, 7.300]],
  "species": ["Pd", "Pd", "Pd", "Pd", "I", "I", "I", "I", "Br", "Br"],
  "fractional_positions": [[0.006, 0.006, 0.256], [0.330, 0.330, 0.914], [0.670, 0.670, 0.086], [0.994, 0.994, 0.744], [0.168, 0.168, 0.087], [0.493, 0.493, 0.748], [0.507, 0.507, 0.252], [0.832, 0.832, 0.913], [0.157, 0.157, 0.595], [0.843, 0.843, 0.405]]
}

***

{
  "formula": "Pd2IBr6",
  "functional": "PBE",
  "state": "relaxed",
  "sg": "No. 15",
  "dft_energy_ev_per_atom": -2.6174,
  "cell": [[8.611, -6.292, 0.000], [8.611, 6.292, 0.000], [-1.720, 0.000, 6.438]],
  "species": ["Pd", "Pd", "Pd", "Pd", "I", "I", "Br", "Br", "Br", "Br", "Br", "Br", "Br", "Br", "Br", "Br", "Br", "Br"],
  "fractional_positions": [[0.157, 0.305, 0.496], [0.305, 0.157, 0.996], [0.695, 0.843, 0.004], [0.843, 0.695, 0.504], [0.219, 0.781, 0.750], [0.781, 0.219, 0.250], [0.050, 0.234, 0.727], [0.063, 0.616, 0.728], [0.234, 0.050, 0.227], [0.268, 0.367, 0.250], [0.367, 0.268, 0.750], [0.384, 0.937, 0.772], [0.616, 0.063, 0.228], [0.633, 0.732, 0.250], [0.732, 0.633, 0.750], [0.766, 0.950, 0.773], [0.937, 0.384, 0.272], [0.950, 0.766, 0.273]]
}

***

{
  "formula": "PdI3Br",
  "functional": "PBE",
  "state": "relaxed",
  "sg": "No. 2",
  "dft_energy_ev_per_atom": -2.4235,
  "e_above_lowest_polymorph_ev_per_atom": 0.0021,
  "cell": [[8.067, 0.000, 0.000], [-0.374, 8.088, 0.000], [-3.268, -3.883, 7.084]],
  "species": ["Pd", "Pd", "I", "I", "I", "I", "I", "I", "Br", "Br"],
  "fractional_positions": [[0.000, 0.000, 0.000], [0.500, 0.000, 0.000], [0.018, 0.788, 0.680], [0.309, 0.241, 0.119], [0.388, 0.792, 0.125], [0.612, 0.208, 0.875], [0.691, 0.759, 0.881], [0.982, 0.212, 0.320], [0.297, 0.214, 0.601], [0.703, 0.786, 0.399]]
}

***

Number 1: formation energy (no corrections) -0.10 eV/atom. Number 2: formation energy (no corrections) -0.15 eV/atom. Number 3: formation energy (no corrections) -0.02 eV/atom. Number 4: formation energy (no corrections) -0.14 eV/atom. Number 5: formation energy (no corrections) -0.18 eV/atom. Number 6: formation energy (no corrections) -0.12 eV/atom.